The following is a DFT calculation (GGA-PBE) of a relaxed structure of Tb2NdEr.

CIF file:
```
data_Tb2NdEr
_space_group_name_H-M_alt 'I -4 m 2'
_space_group_IT_number 119
_space_group_name_Hall 'I -4 -2'
_cell_length_a 5.0693
_cell_length_b 5.0693
_cell_length_c 10.0679
_cell_angle_alpha 90.00
_cell_angle_beta 90.00
_cell_angle_gamma 90.00
loop_
_atom_site_label
_atom_site_fract_x
_atom_site_fract_y
_atom_site_fract_z
_atom_site_occupancy
Tb1 0.0000 0.0000 0.0000 1
Tb2 0.0000 0.5000 0.2500 1
Nd1 0.0000 0.5000 0.7500 1
Er1 0.0000 0.0000 0.5000 1
```

Results
Total magnetic moment ... 0.000 μB/cell
DFT total energy ... -37.0 eV/cell
Formation energy from the elements ... 0.019 eV/atom
Calculated volume ... 32.34 Å³ per atom
Energy above the most stable polymorph in this dataset ... 5 kJ/mol of formula units